Record 1
VASP calculation (PBE) on a geometry-optimized Ac2Zn3Hg4 structure.

Computed properties:
Total magnetization   0.000 Bohr magnetons per cell
Formation energy from the elements   -0.29 eV per atom
Volume   902 Å³/cell
Raw total energy   -1.757 eV/atom
Crystal system   orthorhombic
N(E_F)   23.15 states/eV per cell

Cell and atoms, written as CIF:
```
data_Ac2Zn3Hg4
_symmetry_space_group_name_H-M 'C m c e'
_symmetry_Int_Tables_number 64
_symmetry_space_group_name_Hall '-C 2ac 2'
_cell_length_a 6.670
_cell_length_b 16.522
_cell_length_c 8.182
_cell_angle_alpha 90.00
_cell_angle_beta 90.00
_cell_angle_gamma 90.00
loop_
_atom_site_label
_atom_site_type_symbol
_atom_site_fract_x
_atom_site_fract_y
_atom_site_fract_z
Ac1 Ac 0.000 0.123 0.081
Zn1 Zn 0.000 0.000 0.500
Zn2 Zn 0.250 0.220 0.750
Hg1 Hg 0.000 0.176 0.479
Hg2 Hg 0.250 0.045 0.750
```

Record 2
VASP calculation (PBE) on a geometry-optimized CaYNb2O7 structure.

Computed properties:
Total magnetization   3.950 Bohr magnetons per cell
ΔE_f (raw)   -2879.9 meV/atom
Volume   579 Å³/cell
Raw total energy   -8.636 eV/atom
Crystal system   orthorhombic
N(E_F)   16.49 states/eV per cell

Cell and atoms, written as CIF:
```
data_CaYNb2O7
_symmetry_space_group_name_H-M 'I m m a'
_symmetry_Int_Tables_number 74
_symmetry_space_group_name_Hall '-I 2b 2'
_cell_length_a 7.314
_cell_length_b 7.498
_cell_length_c 10.557
_cell_angle_alpha 90.00
_cell_angle_beta 90.00
_cell_angle_gamma 90.00
loop_
_atom_site_label
_atom_site_type_symbol
_atom_site_fract_x
_atom_site_fract_y
_atom_site_fract_z
Ca1 Ca 0.250 0.250 0.250
Y1 Y 0.000 0.000 0.000
Nb1 Nb 0.000 0.000 0.500
Nb2 Nb 0.250 0.250 0.750
O1 O 0.000 0.250 0.118
O2 O 0.000 0.250 0.432
O3 O 0.000 0.250 0.841
O4 O 0.206 0.046 0.624
```

Record 3
VASP calculation (PBE) on a geometry-optimized Ti3Cu2Mo structure.

Computed properties:
Total magnetization   0.849 Bohr magnetons per cell
Formation energy from the elements   -0.10 eV per atom
Volume   91 Å³/cell
Raw total energy   -7.221 eV/atom
Crystal system   tetragonal
N(E_F)   6.10 states/eV per cell

Cell and atoms, written as CIF:
```
data_Ti3Cu2Mo
_symmetry_space_group_name_H-M 'P 4/m m m'
_symmetry_Int_Tables_number 123
_symmetry_space_group_name_Hall '-P 4 2'
_cell_length_a 3.166
_cell_length_b 3.166
_cell_length_c 9.070
_cell_angle_alpha 90.00
_cell_angle_beta 90.00
_cell_angle_gamma 90.00
loop_
_atom_site_label
_atom_site_type_symbol
_atom_site_fract_x
_atom_site_fract_y
_atom_site_fract_z
Ti1 Ti 0.000 0.000 0.000
Ti2 Ti 0.000 0.000 0.337
Cu1 Cu 0.500 0.500 0.164
Mo1 Mo 0.500 0.500 0.500
```

Record 4
VASP calculation (PBE) on a geometry-optimized BaZr2Al structure.

Computed properties:
Total magnetization   0.000 Bohr magnetons per cell
Formation energy from the elements   0.23 eV per atom
Volume   211 Å³/cell
Raw total energy   -5.464 eV/atom
Crystal system   monoclinic
N(E_F)   9.66 states/eV per cell

Cell and atoms, written as CIF:
```
data_BaZr2Al
_symmetry_space_group_name_H-M 'C 1 2/m 1'
_symmetry_Int_Tables_number 12
_cell_length_a 11.222
_cell_length_b 3.221
_cell_length_c 5.957
_cell_angle_alpha 90.00
_cell_angle_beta 101.85
_cell_angle_gamma 90.00
loop_
_symmetry_equiv_pos_as_xyz
'x,y,z'
'-x,-y,-z'
'-x,y,-z'
'x,-y,z'
'x+1/2,y+1/2,z'
'-x+1/2,-y+1/2,-z'
'-x+1/2,y+1/2,-z'
'x+1/2,-y+1/2,z'
loop_
_atom_site_label
_atom_site_type_symbol
_atom_site_fract_x
_atom_site_fract_y
_atom_site_fract_z
Ba1 Ba 0.000 0.000 0.000
Zr1 Zr 0.220 0.000 0.698
Al1 Al 0.000 0.500 0.500
```

Record 5
VASP calculation (PBE) on a geometry-optimized Pm2Cd15Hg2 structure.

Computed properties:
Total magnetization   0.000 Bohr magnetons per cell
Formation energy from the elements   -0.14 eV per atom
Volume   1326 Å³/cell
Raw total energy   -1.393 eV/atom
Crystal system   trigonal
N(E_F)   13.45 states/eV per cell

Cell and atoms, written as CIF:
```
data_Pm2Cd15Hg2
_symmetry_space_group_name_H-M 'R -3 m'
_symmetry_Int_Tables_number 166
_symmetry_space_group_name_Hall '-R 3 2"'
_cell_length_a 10.1245
_cell_length_b 10.1245
_cell_length_c 14.9421
_cell_angle_alpha 90.00
_cell_angle_beta 90.00
_cell_angle_gamma 120.00
loop_
_atom_site_label
_atom_site_type_symbol
_atom_site_fract_x
_atom_site_fract_y
_atom_site_fract_z
Pm1 Pm 0.0000 0.0000 0.1721
Cd1 Cd 0.0000 0.3011 0.5000
Cd2 Cd 0.0000 0.5000 0.0000
Cd3 Cd 0.0177 0.5088 0.6468
Hg1 Hg 0.0000 0.0000 0.3949
```

Record 6
VASP calculation (PBE) on a geometry-optimized Nd4ZnCl5 structure.

Computed properties:
Total magnetization   0.000 Bohr magnetons per cell
ΔE_f (raw)   -1566.8 meV/atom
Volume   611 Å³/cell
Raw total energy   -4.525 eV/atom
Crystal system   monoclinic
N(E_F)   5.99 states/eV per cell

Cell and atoms, written as CIF:
```
data_Nd4ZnCl5
_symmetry_space_group_name_H-M 'C 1 2/m 1'
_symmetry_Int_Tables_number 12
_cell_length_a 18.211
_cell_length_b 3.975
_cell_length_c 8.661
_cell_angle_alpha 90.00
_cell_angle_beta 102.98
_cell_angle_gamma 90.00
loop_
_symmetry_equiv_pos_as_xyz
'x,y,z'
'-x,-y,-z'
'-x,y,-z'
'x,-y,z'
'x+1/2,y+1/2,z'
'-x+1/2,-y+1/2,-z'
'-x+1/2,y+1/2,-z'
'x+1/2,-y+1/2,z'
loop_
_atom_site_label
_atom_site_type_symbol
_atom_site_fract_x
_atom_site_fract_y
_atom_site_fract_z
Nd1 Nd 0.000 0.000 0.242
Nd2 Nd 0.159 0.500 0.086
Zn1 Zn 0.000 0.500 0.000
Cl1 Cl 0.000 0.500 0.500
Cl2 Cl 0.165 0.000 0.324
Cl3 Cl 0.171 0.000 0.845
```

Record 7
VASP calculation (PBE) on a geometry-optimized PaBeBiO5 structure.

Computed properties:
Total magnetization   0.000 Bohr magnetons per cell
ΔE_f (raw)   -2512.0 meV/atom
Volume   450 Å³/cell
Raw total energy   -7.749 eV/atom
Crystal system   monoclinic
N(E_F)   0.00 states/eV per cell

Cell and atoms, written as CIF:
```
data_PaBeBiO5
_symmetry_space_group_name_H-M 'C 1 2/c 1'
_symmetry_Int_Tables_number 15
_cell_length_a 6.752
_cell_length_b 9.138
_cell_length_c 7.775
_cell_angle_alpha 90.00
_cell_angle_beta 110.26
_cell_angle_gamma 90.00
loop_
_symmetry_equiv_pos_as_xyz
'x,y,z'
'-x,-y,-z'
'-x,y,-z+1/2'
'x,-y,z+1/2'
'x+1/2,y+1/2,z'
'-x+1/2,-y+1/2,-z'
'-x+1/2,y+1/2,-z+1/2'
'x+1/2,-y+1/2,z+1/2'
loop_
_atom_site_label
_atom_site_type_symbol
_atom_site_fract_x
_atom_site_fract_y
_atom_site_fract_z
Pa1 Pa 0.000 0.000 0.000
Be1 Be 0.000 0.310 0.250
Bi1 Bi 0.000 0.367 0.750
O1 O 0.000 0.101 0.750
O2 O 0.123 0.199 0.148
O3 O 0.160 0.428 0.408
```

Record 8
VASP calculation (PBE) on a geometry-optimized MnZnPt2 structure.

Computed properties:
Total magnetization   4.363 Bohr magnetons per cell
Formation energy from the elements   -0.50 eV per atom
Volume   59 Å³/cell
Raw total energy   -6.132 eV/atom
Crystal system   orthorhombic
N(E_F)   1.18 states/eV per cell

Cell and atoms, written as CIF:
```
data_MnZnPt2
_symmetry_space_group_name_H-M 'P m m m'
_symmetry_Int_Tables_number 47
_cell_length_a 2.899
_cell_length_b 3.556
_cell_length_c 5.741
_cell_angle_alpha 90.00
_cell_angle_beta 90.00
_cell_angle_gamma 90.00
loop_
_symmetry_equiv_pos_as_xyz
'x,y,z'
'-x,-y,-z'
'-x,-y,z'
'x,y,-z'
'x,-y,-z'
'-x,y,z'
'-x,y,-z'
'x,-y,z'
loop_
_atom_site_label
_atom_site_type_symbol
_atom_site_fract_x
_atom_site_fract_y
_atom_site_fract_z
Mn1 Mn 0.000 0.000 0.000
Zn1 Zn 0.000 0.000 0.500
Pt1 Pt 0.500 0.500 0.252
```

Record 9
VASP calculation (PBE) on a geometry-optimized Y3Tm5Co2 structure.

Computed properties:
Total magnetization   0.000 Bohr magnetons per cell
Formation energy from the elements   -0.04 eV per atom
Volume   1118 Å³/cell
Raw total energy   -5.633 eV/atom
Crystal system   orthorhombic
N(E_F)   46.27 states/eV per cell

Cell and atoms, written as CIF:
```
data_Y3Tm5Co2
_symmetry_space_group_name_H-M 'I b a m'
_symmetry_Int_Tables_number 72
_symmetry_space_group_name_Hall '-I 2 2c'
_cell_length_a 10.059
_cell_length_b 14.607
_cell_length_c 7.610
_cell_angle_alpha 90.00
_cell_angle_beta 90.00
_cell_angle_gamma 90.00
loop_
_atom_site_label
_atom_site_type_symbol
_atom_site_fract_x
_atom_site_fract_y
_atom_site_fract_z
Y1 Y 0.000 0.000 0.250
Y2 Y 0.242 0.375 0.000
Tm1 Tm 0.000 0.254 0.250
Tm2 Tm 0.000 0.500 0.250
Tm3 Tm 0.241 0.376 0.500
Co1 Co 0.003 0.133 0.000
```

Record 10
VASP calculation (PBE) on a geometry-optimized Er2Tl3Hg3 structure.

Computed properties:
Total magnetization   0.000 Bohr magnetons per cell
Formation energy from the elements   -0.24 eV per atom
Volume   205 Å³/cell
Raw total energy   -2.378 eV/atom
Crystal system   orthorhombic
N(E_F)   4.03 states/eV per cell

Cell and atoms, written as CIF:
```
data_Er2Tl3Hg3
_symmetry_space_group_name_H-M 'P m m m'
_symmetry_Int_Tables_number 47
_cell_length_a 4.238
_cell_length_b 4.946
_cell_length_c 9.784
_cell_angle_alpha 90.00
_cell_angle_beta 90.00
_cell_angle_gamma 90.00
loop_
_symmetry_equiv_pos_as_xyz
'x,y,z'
'-x,-y,-z'
'-x,-y,z'
'x,y,-z'
'x,-y,-z'
'-x,y,z'
'-x,y,-z'
'x,-y,z'
loop_
_atom_site_label
_atom_site_type_symbol
_atom_site_fract_x
_atom_site_fract_y
_atom_site_fract_z
Er1 Er 0.000 0.000 0.246
Tl1 Tl 0.000 0.500 0.000
Tl2 Tl 0.000 0.500 0.500
Tl3 Tl 0.500 0.000 0.500
Hg1 Hg 0.500 0.000 0.000
Hg2 Hg 0.500 0.500 0.248
```

N(E_F) of number 4 (BaZr2Al)? 9.66 states/eV per cell